Entry from the Alexandria database: Li2NbAs2 at its PBEsol-relaxed geometry (SCAN).

Properties
**Total magnetic moment**: 0.00 μB per cell
**ΔE_f**: -2.15 eV per formula unit
**DOS(E_F)**: 0.50 states/eV per atom

POSCAR file:
```
Li2NbAs2
1.0
3.3799 0.0000 0.0000
0.0000 3.3799 0.0000
0.0000 0.0000 13.2182
Li Nb As
4 2 4
Direct
0.0000 0.5000 0.2500
0.0000 0.5000 0.7500
0.5000 0.0000 0.2500
0.5000 0.0000 0.7500
0.0000 0.0000 0.0000
0.5000 0.5000 0.5000
0.0000 0.0000 0.3931
0.0000 0.0000 0.6069
0.5000 0.5000 0.1069
0.5000 0.5000 0.8931
```